Entry 1:
Computed, not measured: a relaxed Ba2PbBr6 crystal at the PBE-GGA level of DFT.

Cell: 7.759 8.200 12.880 Å, 90.00 118.81 90.00°
Sites, in units of the cell vectors:
1 Ba 0.180 0.099 0.229
2 Ba 0.180 0.401 0.729
3 Ba 0.820 0.599 0.271
4 Ba 0.820 0.901 0.771
5 Pb 0.500 0.000 0.000
6 Pb 0.500 0.500 0.500
7 Br 0.125 0.187 0.942
8 Br 0.125 0.313 0.442
9 Br 0.235 0.696 0.915
10 Br 0.235 0.804 0.415
11 Br 0.419 0.064 0.751
12 Br 0.419 0.436 0.251
13 Br 0.581 0.564 0.749
14 Br 0.581 0.936 0.249
15 Br 0.765 0.196 0.585
16 Br 0.765 0.304 0.085
17 Br 0.875 0.687 0.558
18 Br 0.875 0.813 0.058

Computed properties:
formation energy (no corrections) = -1.748 eV per atom
electronic total energy = -0.27211 Ry/atom
space-group type = No. 14
calculated volume = 359.0 Å³/f.u.
relative energy among the computed polymorphs = 0.0 meV/atom

***

Entry 2:
Computed, not measured: a relaxed BaPb2Br crystal at the PBE-GGA level of DFT.

Cell: 4.121 4.522 8.340 Å, 90.00 101.53 90.00°
Sites, in units of the cell vectors:
1 Ba 0.000 0.000 0.000
2 Pb 0.082 0.000 0.533
3 Pb 0.580 0.500 0.678
4 Br 0.557 0.500 0.150

Computed properties:
formation energy (no corrections) = -0.749 eV per atom
electronic total energy = -0.25739 Ry/atom
space-group type = No. 6
calculated volume = 152.3 Å³/f.u.
relative energy among the computed polymorphs = 44.5 meV/atom

***

Entry 3:
Computed, not measured: a relaxed BaPb2Br crystal at the PBE-GGA level of DFT.

Cell: 6.874 6.874 6.874 Å, 146.88 122.35 68.13°
Sites, in units of the cell vectors:
1 Ba 0.000 0.000 0.000
2 Pb 0.284 0.784 0.500
3 Pb 0.505 0.505 0.000
4 Br 0.774 0.274 0.500

Computed properties:
formation energy (no corrections) = -0.580 eV per atom
electronic total energy = -0.24499 Ry/atom
space-group type = No. 44
calculated volume = 147.9 Å³/f.u.
relative energy among the computed polymorphs = 213.1 meV/atom